A relaxed CsWF3 crystal. Source: the Alexandria database, functional PBE with a Hubbard U.

```
CsWF3
1.0
-3.214 3.214 5.123
3.214 -3.214 5.123
3.214 3.214 -5.123
Cs W F
2 2 6
direct
0.250 0.750 0.500
0.750 0.250 0.500
0.000 0.000 0.000
0.500 0.500 0.000
0.210 0.210 0.000
0.265 0.265 0.529
0.265 0.735 0.000
0.735 0.265 0.000
0.735 0.735 0.471
0.790 0.790 0.000
```

Results
* uncorrected energy: -4.863 eV per atom
* spin magnetization: 8.00 Bohr magnetons per cell
* D(E_F): 0.0 states/eV/cell
* energy above the most stable polymorph in this dataset: 0.00 kcal/mol of atoms